Cr2In2Ge | PBE | optimized geometry

Cell: 6.2321 6.2321 4.4053 Å, 90.00 90.00 90.00°
Fractional coordinates of all 10 atoms:
Cr 0.1251 0.3749 0.0000
Cr 0.3749 0.8749 0.0000
Cr 0.6251 0.1251 0.0000
Cr 0.8749 0.6251 0.0000
In 0.1716 0.6716 0.5000
In 0.3284 0.1716 0.5000
In 0.6716 0.8284 0.5000
In 0.8284 0.3284 0.5000
Ge 0.0000 0.0000 0.0000
Ge 0.5000 0.5000 0.0000

Properties
Magnetization in μB per atom: 0.05
Calculated volume in Å³/atom: 17.11
ΔE_f in eV/atom: 0.227
Energy in eV per atom: -5.641